Record 1
Tb3Pm2Sc, relaxed, DFT PBE-GGA; energy above the lowest structure with this stoichiometry = 113.6 meV per atom; SG = C2/m (12); D(E_F) = 1.74 states/eV/atom; calculated formation energy = 0.148 eV/atom; ρ = 7.02 g/cm³
1.0
8.8090 -1.7293 0.0000
8.8090 1.7293 0.0000
-6.4007 0.0000 12.5982
Tb Pm Sc
6 4 2
Direct
0.0362 0.0362 0.2160
0.2594 0.2594 0.7067
0.4010 0.4010 0.9722
0.5990 0.5990 0.0278
0.7406 0.7406 0.2933
0.9638 0.9638 0.7840
0.1790 0.1790 0.8783
0.3461 0.3461 0.5297
0.6539 0.6539 0.4703
0.8210 0.8210 0.1217
0.4363 0.4363 0.3583
0.5637 0.5637 0.6417


Record 2
Tb2PmSc, relaxed, DFT PBE-GGA; energy above the lowest structure with this stoichiometry = 0.0 meV per atom; SG = Cm (8); D(E_F) = 1.72 states/eV/atom; calculated formation energy = 0.035 eV/atom; ρ = 6.86 g/cm³
1.0
6.1321 0.0000 0.0000
0.0000 3.5374 0.0000
-2.0411 0.0000 11.3271
Tb Pm Sc
4 2 2
Direct
0.0000 0.0000 0.0000
0.1570 0.0000 0.4740
0.5000 0.5000 0.0000
0.6570 0.5000 0.4740
0.0775 0.5000 0.7364
0.5775 0.0000 0.7364
0.4125 0.0000 0.2384
0.9125 0.5000 0.2384


Record 3
Tb8Pm4Sc, relaxed, DFT PBE-GGA; SG = R-3m (166); D(E_F) = 1.63 states/eV/atom; calculated formation energy = 0.520 eV/atom; ρ = 6.74 g/cm³
1.0
5.4917 3.1706 4.4736
-5.4917 3.1706 4.4736
0.0000 -6.3413 4.4736
Tb Pm Sc
8 4 1
Direct
0.2419 0.2419 0.2419
0.2416 0.2416 0.7574
0.2416 0.7574 0.2416
0.2426 0.7584 0.7584
0.7574 0.2416 0.2416
0.7584 0.2426 0.7584
0.7584 0.7584 0.2426
0.7581 0.7581 0.7581
0.0000 0.0000 0.0000
0.0000 0.5000 0.5000
0.5000 0.0000 0.5000
0.5000 0.5000 0.0000
0.5000 0.5000 0.5000


Record 4
Tb11Pm4Sc9, relaxed, DFT PBE-GGA; SG = Cmmm (65); D(E_F) = 1.50 states/eV/atom; calculated formation energy = 0.077 eV/atom; ρ = 6.37 g/cm³
1.0
7.9623 -12.7232 0.0000
7.9623 12.7232 0.0000
0.0000 0.0000 3.5149
Tb Pm Sc
11 4 9
Direct
0.0000 0.0000 0.0000
0.0338 0.4057 0.0000
0.1876 0.8124 0.0000
0.2068 0.2068 0.0000
0.3749 0.6251 0.0000
0.4057 0.0338 0.0000
0.5943 0.9662 0.0000
0.6251 0.3749 0.0000
0.7932 0.7932 0.0000
0.8124 0.1876 0.0000
0.9662 0.5943 0.0000
0.2414 0.4169 0.5000
0.4169 0.2414 0.5000
0.5831 0.7586 0.5000
0.7586 0.5831 0.5000
0.0138 0.2022 0.5000
0.1757 0.6144 0.5000
0.2022 0.0138 0.5000
0.3856 0.8243 0.5000
0.5000 0.5000 0.5000
0.6144 0.1757 0.5000
0.7978 0.9862 0.5000
0.8243 0.3856 0.5000
0.9862 0.7978 0.5000


Record 5
Tb14PmSc, relaxed, DFT PBE-GGA; SG = P4/mmm (123); D(E_F) = 1.23 states/eV/atom; calculated formation energy = 0.021 eV/atom; ρ = 7.94 g/cm³
1.0
7.1026 0.0000 0.0000
0.0000 7.1026 0.0000
0.0000 0.0000 10.0141
Tb Pm Sc
14 1 1
Direct
0.0000 0.0000 0.0000
0.0000 0.5000 0.0000
0.0000 0.5000 0.5000
0.2477 0.2477 0.2519
0.2477 0.2477 0.7481
0.2477 0.7523 0.2519
0.2477 0.7523 0.7481
0.5000 0.0000 0.0000
0.5000 0.0000 0.5000
0.5000 0.5000 0.0000
0.7523 0.2477 0.2519
0.7523 0.2477 0.7481
0.7523 0.7523 0.2519
0.7523 0.7523 0.7481
0.5000 0.5000 0.5000
0.0000 0.0000 0.5000


Record 6
Tb3Pm6Sc, relaxed, DFT PBE-GGA; energy above the lowest structure with this stoichiometry = 0.0 meV per atom; SG = Cmc2_1 (36); D(E_F) = 1.31 states/eV/atom; calculated formation energy = 0.139 eV/atom; ρ = 6.98 g/cm³
1.0
5.4993 -9.6008 0.0000
5.4993 9.6008 0.0000
0.0000 0.0000 6.2713
Tb Pm Sc
6 12 2
Direct
0.1146 0.8854 0.5000
0.2220 0.4471 0.8871
0.4471 0.2220 0.3871
0.5529 0.7780 0.8871
0.7780 0.5529 0.3871
0.8854 0.1146 0.0000
0.0245 0.4460 0.2862
0.1224 0.2100 0.4732
0.2100 0.1224 0.9732
0.2234 0.7766 0.0769
0.4460 0.0245 0.7862
0.4562 0.5438 0.3408
0.5438 0.4562 0.8408
0.5540 0.9755 0.2862
0.7766 0.2234 0.5769
0.7900 0.8776 0.4732
0.8776 0.7900 0.9732
0.9755 0.5540 0.7862
0.2993 0.7007 0.5492
0.7007 0.2993 0.0492


Record 7
Tb5Pm12Sc2, relaxed, DFT PBE-GGA; energy above the lowest structure with this stoichiometry = 0.0 meV per atom; SG = C2/m (12); D(E_F) = 1.52 states/eV/atom; calculated formation energy = 0.148 eV/atom; ρ = 6.85 g/cm³
1.0
11.1660 -3.5167 0.0000
11.1660 3.5167 0.0000
-3.2326 0.0000 8.0962
Tb Pm Sc
5 12 2
Direct
0.0000 0.0000 0.0000
0.2486 0.2486 0.9899
0.3533 0.3533 0.4062
0.6467 0.6467 0.5938
0.7514 0.7514 0.0101
0.0486 0.5438 0.7072
0.1331 0.1331 0.5338
0.1518 0.6400 0.1222
0.3600 0.8482 0.8778
0.4511 0.4511 0.8014
0.4562 0.9514 0.2928
0.5438 0.0486 0.7072
0.5489 0.5489 0.1986
0.6400 0.1518 0.1222
0.8482 0.3600 0.8778
0.8669 0.8669 0.4662
0.9514 0.4562 0.2928
0.2654 0.7346 0.5000
0.7346 0.2654 0.5000


Record 8
Tb4PmSc7, relaxed, DFT PBE-GGA; SG = C2/m (12); D(E_F) = 1.97 states/eV/atom; calculated formation energy = 0.266 eV/atom; ρ = 5.29 g/cm³
1.0
5.7165 -2.7882 0.0000
5.7165 2.7882 0.0000
-5.5684 0.0000 10.7939
Tb Pm Sc
4 1 7
Direct
0.0845 0.0845 0.3062
0.3574 0.3574 0.2245
0.6426 0.6426 0.7755
0.9155 0.9155 0.6938
0.5000 0.5000 0.0000
0.0000 0.0000 0.0000
0.1766 0.1766 0.6333
0.2093 0.2093 0.9193
0.3732 0.3732 0.5130
0.6268 0.6268 0.4870
0.7907 0.7907 0.0807
0.8234 0.8234 0.3667


Record 9
TbPm2Sc8, relaxed, DFT PBE-GGA; SG = C2/m (12); D(E_F) = 1.47 states/eV/atom; calculated formation energy = 0.154 eV/atom; ρ = 4.46 g/cm³
1.0
4.3416 -7.6961 0.0000
4.3416 7.6961 0.0000
-3.2035 0.0000 4.5055
Tb Pm Sc
1 2 8
Direct
0.0000 0.0000 0.0000
0.3066 0.6934 0.5000
0.6934 0.3066 0.5000
0.0959 0.3331 0.6878
0.2059 0.7941 0.0000
0.3331 0.0959 0.6878
0.4491 0.4491 0.2128
0.5509 0.5509 0.7872
0.6669 0.9041 0.3122
0.7941 0.2059 0.0000
0.9041 0.6669 0.3122


Record 10
Tb3Pm6Sc, relaxed, DFT PBE-GGA; energy above the lowest structure with this stoichiometry = 79.5 meV per atom; SG = R3 (146); D(E_F) = 2.03 states/eV/atom; calculated formation energy = 0.218 eV/atom; ρ = 6.92 g/cm³
1.0
4.9410 2.8527 3.9463
-4.9410 2.8527 3.9463
0.0000 -5.7054 3.9463
Tb Pm Sc
3 6 1
Direct
0.0000 0.0000 0.0000
0.2539 0.2539 0.2539
0.5086 0.5086 0.5086
0.0004 0.6743 0.3415
0.1683 0.5100 0.8351
0.3415 0.0004 0.6743
0.5100 0.8351 0.1683
0.6743 0.3415 0.0004
0.8351 0.1683 0.5100
0.7542 0.7542 0.7542


Record 11
Tb6Pm2Sc, relaxed, DFT PBE-GGA; energy above the lowest structure with this stoichiometry = 99.8 meV per atom; SG = C2/m (12); D(E_F) = 1.99 states/eV/atom; calculated formation energy = 0.198 eV/atom; ρ = 7.26 g/cm³
1.0
8.7997 -4.9462 0.0000
8.7997 4.9462 0.0000
-0.6624 0.0000 3.3868
Tb Pm Sc
6 2 1
Direct
0.1510 0.5199 0.3362
0.1997 0.8003 0.0000
0.4801 0.8490 0.6638
0.5199 0.1510 0.3362
0.8003 0.1997 0.0000
0.8490 0.4801 0.6638
0.1664 0.1664 0.1661
0.8336 0.8336 0.8339
0.5000 0.5000 0.5000


Record 12
Tb2PmSc, relaxed, DFT PBE-GGA; energy above the lowest structure with this stoichiometry = 3.9 meV per atom; SG = P4/mmm (123); D(E_F) = 1.55 states/eV/atom; calculated formation energy = 0.039 eV/atom; ρ = 6.92 g/cm³
1.0
4.9400 0.0000 0.0000
0.0000 4.9400 0.0000
0.0000 0.0000 4.9969
Tb Pm Sc
2 1 1
Direct
0.0000 0.5000 0.0000
0.5000 0.0000 0.0000
0.0000 0.0000 0.5000
0.5000 0.5000 0.5000